No. 1
ZrTlCl2 | Alexandria | PBE-GGA | relaxed; electronic total energy = -14.798 eV/cell; magnetic moment = 2.70 μB/f.u.
1.0
0.000 3.661 3.661
3.661 0.000 3.661
3.661 3.661 0.000
Zr Tl Cl
1 1 2
direct
0.000 0.000 0.000 Zr
0.750 0.750 0.750 Tl
0.250 0.250 0.250 Cl
0.500 0.500 0.500 Cl

***

No. 2
Mn2CdSb | Alexandria | PBE-GGA | relaxed; electronic total energy = -21.142 eV/cell; magnetic moment = 6.50 μB/f.u.
1.0
0.000 3.330 3.330
3.330 0.000 3.330
3.330 3.330 0.000
Mn Cd Sb
2 1 1
direct
0.000 0.000 0.000 Mn
0.250 0.250 0.250 Mn
0.750 0.750 0.750 Cd
0.500 0.500 0.500 Sb

***

No. 3
LiFeRhPb | Alexandria | PBE-GGA | relaxed; electronic total energy = -21.494 eV/cell; magnetic moment = 3.56 μB/f.u.
1.0
0.000 3.169 3.169
3.169 0.000 3.169
3.169 3.169 0.000
Li Fe Rh Pb
1 1 1 1
direct
0.000 0.000 0.000 Li
0.750 0.750 0.750 Fe
0.500 0.500 0.500 Rh
0.250 0.250 0.250 Pb

***

No. 4
TbPr5Ho4 | Alexandria | PBE-GGA | relaxed; electronic total energy = -46.666 eV/cell; magnetic moment = 0.00 μB/f.u.
1.0
3.644 0.000 0.000
0.000 3.644 0.000
0.000 0.000 25.321
Tb Pr Ho
1 5 4
direct
0.000 0.000 0.000 Tb
0.500 0.500 0.101 Pr
0.500 0.500 0.300 Pr
0.500 0.500 0.500 Pr
0.500 0.500 0.700 Pr
0.500 0.500 0.899 Pr
0.000 0.000 0.201 Ho
0.000 0.000 0.400 Ho
0.000 0.000 0.600 Ho
0.000 0.000 0.799 Ho

***

No. 5
HfCrWCl2 | Alexandria | PBE-GGA | relaxed; electronic total energy = -30.626 eV/cell; magnetic moment = 3.07 μB/f.u.
1.0
4.631 0.000 0.000
0.000 4.631 0.000
0.000 0.000 5.049
Hf Cr W Cl
1 1 1 2
direct
0.000 0.000 0.000 Hf
0.500 0.500 0.000 Cr
0.500 0.500 0.500 W
0.000 0.500 0.500 Cl
0.500 0.000 0.500 Cl

***

No. 6
AsPRh4 | Alexandria | PBE-GGA | relaxed; electronic total energy = -43.105 eV/cell; magnetic moment = 0.00 μB/f.u.
1.0
1.999 1.154 6.517
-1.999 1.154 6.517
0.000 -2.309 6.517
As P Rh
1 1 4
direct
0.000 0.000 0.000 As
0.500 0.500 0.500 P
0.128 0.128 0.128 Rh
0.378 0.378 0.378 Rh
0.622 0.622 0.622 Rh
0.872 0.872 0.872 Rh

***

> The highest magnetic moment belongs to which entry?

Mn2CdSb

***

> Look up the electronic total energy of the second one.

-21.142 eV/cell

***

> What is the electronic total energy in the sixth record?

-43.105 eV/cell

***

> Which of these has the highest magnetic moment?

Mn2CdSb